The following is a GGA-PBEsol calculation of crystalline BeMo2 at its relaxed geometry, from the Alexandria database.

Geometry as CIF:
```
data_BeMo2
_chemical_formula_sum 'Be2 Mo4'
_cell_length_a 2.567
_cell_length_b 4.074
_cell_length_c 7.846
_cell_angle_alpha 90.00
_cell_angle_beta 90.00
_cell_angle_gamma 90.00
_symmetry_space_group_name_H-M 'I m m m'
_symmetry_Int_Tables_number 71
_symmetry_space_group_name_Hall '-I 2 2'
loop_
_atom_site_label
_atom_site_fract_x
_atom_site_fract_y
_atom_site_fract_z
Be1 0.000 0.000 0.000
Mo1 0.000 0.000 0.338
```

Its energy above the lowest structure with this stoichiometry is 0.910 eV per formula unit.

The following is a GGA-PBEsol calculation of crystalline Be12Mo at its relaxed geometry, from the Alexandria database.

Geometry as CIF:
```
data_Be12Mo
_chemical_formula_sum 'Be24 Mo2'
_cell_length_a 7.179
_cell_length_b 7.179
_cell_length_c 4.190
_cell_angle_alpha 90.00
_cell_angle_beta 90.00
_cell_angle_gamma 90.00
_symmetry_space_group_name_H-M 'I 4/m m m'
_symmetry_Int_Tables_number 139
_symmetry_space_group_name_Hall '-I 4 2'
loop_
_atom_site_label
_atom_site_fract_x
_atom_site_fract_y
_atom_site_fract_z
Be1 0.000 0.211 0.000
Be2 0.000 0.351 0.500
Be3 0.250 0.250 0.250
Mo1 0.000 0.000 0.500
```

The calculation puts the total energy at -4.715 eV per atom.

The following is a GGA-PBEsol calculation of crystalline Be7Mo6 at its relaxed geometry, from the Alexandria database.

Geometry as CIF:
```
data_Be7Mo6
_chemical_formula_sum 'Be21 Mo18'
_cell_length_a 4.5558
_cell_length_b 4.5558
_cell_length_c 24.7125
_cell_angle_alpha 90.00
_cell_angle_beta 90.00
_cell_angle_gamma 120.00
_symmetry_space_group_name_H-M 'R -3 m'
_symmetry_Int_Tables_number 166
_symmetry_space_group_name_Hall '-R 3 2"'
loop_
_atom_site_label
_atom_site_fract_x
_atom_site_fract_y
_atom_site_fract_z
Be1 0.0000 0.0000 0.0000
Be2 0.0048 0.5024 0.4083
Mo1 0.0000 0.0000 0.1639
Mo2 0.0000 0.0000 0.3514
Mo3 0.0000 0.0000 0.4516
```

The calculation puts the total energy at -7.756 eV per atom.

The following is a GGA-PBEsol calculation of crystalline BeMo at its relaxed geometry, from the Alexandria database.

Geometry as CIF:
```
data_BeMo
_chemical_formula_sum 'Be4 Mo4'
_cell_length_a 3.174
_cell_length_b 8.806
_cell_length_c 3.251
_cell_angle_alpha 90.00
_cell_angle_beta 90.00
_cell_angle_gamma 90.00
_symmetry_space_group_name_H-M 'C m c m'
_symmetry_Int_Tables_number 63
_symmetry_space_group_name_Hall '-C 2c 2'
loop_
_atom_site_label
_atom_site_fract_x
_atom_site_fract_y
_atom_site_fract_z
Be1 0.000 0.068 0.250
Mo1 0.000 0.344 0.250
```

Its energy above the lowest structure with this stoichiometry is 0.000 eV per formula unit.

The following is a GGA-PBEsol calculation of crystalline BeMo2 at its relaxed geometry, from the Alexandria database.

Geometry as CIF:
```
data_BeMo2
_chemical_formula_sum 'Be1 Mo2'
_cell_length_a 4.3759
_cell_length_b 4.3759
_cell_length_c 2.5379
_cell_angle_alpha 90.00
_cell_angle_beta 90.00
_cell_angle_gamma 120.00
_symmetry_space_group_name_H-M 'P 6/m m m'
_symmetry_Int_Tables_number 191
_symmetry_space_group_name_Hall '-P 6 2'
loop_
_atom_site_label
_atom_site_fract_x
_atom_site_fract_y
_atom_site_fract_z
Be1 0.0000 0.0000 0.0000
Mo1 0.3333 0.6667 0.5000
```

Its energy above the lowest structure with this stoichiometry is 1.647 eV per formula unit.

The following is a GGA-PBEsol calculation of crystalline BeMo2 at its relaxed geometry, from the Alexandria database.

Geometry as CIF:
```
data_BeMo2
_chemical_formula_sum 'Be4 Mo8'
_cell_length_a 8.971
_cell_length_b 2.583
_cell_length_c 7.522
_cell_angle_alpha 90.00
_cell_angle_beta 115.32
_cell_angle_gamma 90.00
_symmetry_space_group_name_H-M 'C 1 2/m 1'
_symmetry_Int_Tables_number 12
_symmetry_space_group_name_Hall '-C 2y'
loop_
_atom_site_label
_atom_site_fract_x
_atom_site_fract_y
_atom_site_fract_z
Be1 0.200 0.000 0.080
Mo1 0.019 0.500 0.204
Mo2 0.160 0.000 0.601
```

Its energy above the lowest structure with this stoichiometry is 0.822 eV per formula unit.

The following is a GGA-PBEsol calculation of crystalline Be4Mo at its relaxed geometry, from the Alexandria database.

Geometry as CIF:
```
data_Be4Mo
_chemical_formula_sum 'Be8 Mo2'
_cell_length_a 3.316
_cell_length_b 3.316
_cell_length_c 8.245
_cell_angle_alpha 90.00
_cell_angle_beta 90.00
_cell_angle_gamma 90.00
_symmetry_space_group_name_H-M 'I 4/m m m'
_symmetry_Int_Tables_number 139
_symmetry_space_group_name_Hall '-I 4 2'
loop_
_atom_site_label
_atom_site_fract_x
_atom_site_fract_y
_atom_site_fract_z
Be1 0.000 0.000 0.114
Be2 0.000 0.500 0.250
Mo1 0.000 0.000 0.500
```

The calculation puts the total energy at -5.673 eV per atom.

The following is a GGA-PBEsol calculation of crystalline Be2Mo at its relaxed geometry, from the Alexandria database.

Geometry as CIF:
```
data_Be2Mo
_chemical_formula_sum 'Be8 Mo4'
_cell_length_a 8.826
_cell_length_b 2.477
_cell_length_c 5.959
_cell_angle_alpha 90.00
_cell_angle_beta 92.05
_cell_angle_gamma 90.00
_symmetry_space_group_name_H-M 'C 1 m 1'
_symmetry_Int_Tables_number 8
_symmetry_space_group_name_Hall 'C -2y'
loop_
_atom_site_label
_atom_site_fract_x
_atom_site_fract_y
_atom_site_fract_z
Be1 0.000 0.000 0.000
Be2 0.116 0.500 0.257
Be3 0.236 0.500 0.957
Be4 0.379 0.000 0.734
Mo1 0.110 0.000 0.611
Mo2 0.354 0.000 0.317
```

Its energy above the lowest structure with this stoichiometry is 1.350 eV per formula unit.

The following is a GGA-PBEsol calculation of crystalline BeMo2 at its relaxed geometry, from the Alexandria database.

Geometry as CIF:
```
data_BeMo2
_chemical_formula_sum 'Be4 Mo8'
_cell_length_a 5.691
_cell_length_b 5.691
_cell_length_c 4.714
_cell_angle_alpha 90.00
_cell_angle_beta 90.00
_cell_angle_gamma 90.00
_symmetry_space_group_name_H-M 'I 4/m c m'
_symmetry_Int_Tables_number 140
_symmetry_space_group_name_Hall '-I 4 2c'
loop_
_atom_site_label
_atom_site_fract_x
_atom_site_fract_y
_atom_site_fract_z
Be1 0.000 0.000 0.250
Mo1 0.167 0.333 0.000
```

Its energy above the lowest structure with this stoichiometry is 0.000 eV per formula unit.

The following is a GGA-PBEsol calculation of crystalline BeMo at its relaxed geometry, from the Alexandria database.

Geometry as CIF:
```
data_BeMo
_chemical_formula_sum 'Be4 Mo4'
_cell_length_a 3.478
_cell_length_b 3.478
_cell_length_c 7.968
_cell_angle_alpha 90.00
_cell_angle_beta 90.00
_cell_angle_gamma 90.00
_symmetry_space_group_name_H-M 'I 41/a m d'
_symmetry_Int_Tables_number 141
loop_
_symmetry_equiv_pos_as_xyz
'x,y,z'
'-x,-y,-z'
'-y+1/4,x+3/4,z+1/4'
'y+1/4,-x+3/4,-z+1/4'
'-x+1/2,-y,z+1/2'
'x+1/2,y,-z+1/2'
'y+1/4,-x+1/4,z+3/4'
'-y+1/4,x+1/4,-z+3/4'
'x,-y,-z'
'-x,y,z'
'-y+1/4,-x+1/4,-z+3/4'
'y+1/4,x+1/4,z+3/4'
'-x+1/2,y,-z+1/2'
'x+1/2,-y,z+1/2'
'y+1/4,x+3/4,-z+1/4'
'-y+1/4,-x+3/4,z+1/4'
'x+1/2,y+1/2,z+1/2'
'-x+1/2,-y+1/2,-z+1/2'
'-y+3/4,x+1/4,z+3/4'
'y+3/4,-x+1/4,-z+3/4'
'-x,-y+1/2,z'
'x,y+1/2,-z'
'y+3/4,-x+3/4,z+1/4'
'-y+3/4,x+3/4,-z+1/4'
'x+1/2,-y+1/2,-z+1/2'
'-x+1/2,y+1/2,z+1/2'
'-y+3/4,-x+3/4,-z+1/4'
'y+3/4,x+3/4,z+1/4'
'-x,y+1/2,-z'
'x,-y+1/2,z'
'y+3/4,x+1/4,-z+3/4'
'-y+3/4,-x+1/4,z+3/4'
loop_
_atom_site_label
_atom_site_fract_x
_atom_site_fract_y
_atom_site_fract_z
Be1 0.000 0.250 0.375
Mo1 0.000 0.250 0.875
```

Its energy above the lowest structure with this stoichiometry is 0.595 eV per formula unit.

The following is a GGA-PBEsol calculation of crystalline Be2Mo at its relaxed geometry, from the Alexandria database.

Geometry as CIF:
```
data_Be2Mo
_chemical_formula_sum 'Be8 Mo4'
_cell_length_a 8.907
_cell_length_b 2.479
_cell_length_c 6.246
_cell_angle_alpha 90.00
_cell_angle_beta 111.11
_cell_angle_gamma 90.00
_symmetry_space_group_name_H-M 'C 1 2/m 1'
_symmetry_Int_Tables_number 12
_symmetry_space_group_name_Hall '-C 2y'
loop_
_atom_site_label
_atom_site_fract_x
_atom_site_fract_y
_atom_site_fract_z
Be1 0.039 0.000 0.228
Be2 0.154 0.500 0.025
Mo1 0.157 0.500 0.619
```

Its energy above the lowest structure with this stoichiometry is 1.103 eV per formula unit.

The following is a GGA-PBEsol calculation of crystalline Be5Mo at its relaxed geometry, from the Alexandria database.

Geometry as CIF:
```
data_Be5Mo
_chemical_formula_sum 'Be5 Mo1'
_cell_length_a 4.2823
_cell_length_b 4.2823
_cell_length_c 3.3495
_cell_angle_alpha 90.00
_cell_angle_beta 90.00
_cell_angle_gamma 120.00
_symmetry_space_group_name_H-M 'P 6/m m m'
_symmetry_Int_Tables_number 191
_symmetry_space_group_name_Hall '-P 6 2'
loop_
_atom_site_label
_atom_site_fract_x
_atom_site_fract_y
_atom_site_fract_z
Be1 0.0000 0.5000 0.0000
Be2 0.3333 0.6667 0.5000
Mo1 0.0000 0.0000 0.5000
```

The calculation puts the total energy at -5.412 eV per atom.

The following is a GGA-PBEsol calculation of crystalline BeMo at its relaxed geometry, from the Alexandria database.

Geometry as CIF:
```
data_BeMo
_chemical_formula_sum 'Be6 Mo6'
_cell_length_a 2.6683
_cell_length_b 2.6683
_cell_length_c 25.0223
_cell_angle_alpha 90.00
_cell_angle_beta 90.00
_cell_angle_gamma 120.00
_symmetry_space_group_name_H-M 'R -3 m'
_symmetry_Int_Tables_number 166
_symmetry_space_group_name_Hall '-R 3 2"'
loop_
_atom_site_label
_atom_site_fract_x
_atom_site_fract_y
_atom_site_fract_z
Be1 0.0000 0.0000 0.1313
Mo1 0.0000 0.0000 0.3818
```

Its energy above the lowest structure with this stoichiometry is 1.266 eV per formula unit.

The following is a GGA-PBEsol calculation of crystalline BeMo3N at its relaxed geometry, from the Alexandria database.

Geometry as CIF:
```
data_BeMo3N
_chemical_formula_sum 'Be1 Mo3 N1'
_cell_length_a 4.011
_cell_length_b 4.011
_cell_length_c 4.011
_cell_angle_alpha 90.00
_cell_angle_beta 90.00
_cell_angle_gamma 90.00
_symmetry_space_group_name_H-M 'P m -3 m'
_symmetry_Int_Tables_number 221
_symmetry_space_group_name_Hall '-P 4 2 3'
loop_
_atom_site_label
_atom_site_fract_x
_atom_site_fract_y
_atom_site_fract_z
Be1 0.000 0.000 0.000
Mo1 0.000 0.500 0.500
N1 0.500 0.500 0.500
```

Its formation energy from raw total energies is -0.08 eV/atom.